Record 1
Crystalline NaReRh2S at its relaxed geometry. Source: Alexandria, functional PBE-GGA.

Geometry as CIF:
```
data_NaReRh2S
_space_group_name_H-M_alt 'P 4/m m m'
_space_group_IT_number 123
_space_group_name_Hall '-P 4 2'
_cell_length_a 4.8110
_cell_length_b 4.8110
_cell_length_c 4.5377
_cell_angle_alpha 90.00
_cell_angle_beta 90.00
_cell_angle_gamma 90.00
loop_
_atom_site_label
_atom_site_fract_x
_atom_site_fract_y
_atom_site_fract_z
_atom_site_occupancy
Na1 0.0000 0.0000 0.0000 1
Re1 0.5000 0.5000 0.5000 1
Rh1 0.0000 0.5000 0.5000 1
S1 0.5000 0.5000 0.0000 1
```

Properties
Total magnetic moment ... 0.0 Bohr magnetons per cell
ΔE_f (raw) ... 554 meV per atom


Record 2
Crystalline PmPr2Sm3Ho6 at its relaxed geometry. Source: Alexandria, functional PBE-GGA.

Geometry as CIF:
```
data_PmPr2Sm3Ho6
_space_group_name_H-M_alt 'C 1 2/m 1'
_space_group_IT_number 12
_cell_length_a 6.2375
_cell_length_b 10.8011
_cell_length_c 11.8091
_cell_angle_alpha 90.00
_cell_angle_beta 100.10
_cell_angle_gamma 90.00
loop_
_space_group_symop_operation_xyz
'x,y,z'
'-x,-y,-z'
'-x,y,-z'
'x,-y,z'
'x+1/2,y+1/2,z'
'-x+1/2,-y+1/2,-z'
'-x+1/2,y+1/2,-z'
'x+1/2,-y+1/2,z'
loop_
_atom_site_label
_atom_site_fract_x
_atom_site_fract_y
_atom_site_fract_z
_atom_site_occupancy
Pm1 0.0000 0.0000 0.0000 1
Pr1 0.0000 0.3334 0.0000 1
Sm1 0.0000 0.1666 0.5000 1
Sm2 0.0000 0.5000 0.5000 1
Ho1 0.2490 0.0000 0.7485 1
Ho2 0.2495 0.3335 0.7485 1
```

Properties
E_form ... 1.4 kJ per mole of atoms
Total magnetic moment ... 0.0 Bohr magnetons per cell


Record 3
Crystalline ScZnIn at its relaxed geometry. Source: Alexandria, functional PBE-GGA.

Geometry as CIF:
```
data_ScZnIn
_space_group_name_H-M_alt 'P -6 m 2'
_space_group_IT_number 187
_space_group_name_Hall 'P -6 2'
_cell_length_a 4.5918
_cell_length_b 4.5918
_cell_length_c 3.3277
_cell_angle_alpha 90.00
_cell_angle_beta 90.00
_cell_angle_gamma 120.00
loop_
_atom_site_label
_atom_site_fract_x
_atom_site_fract_y
_atom_site_fract_z
_atom_site_occupancy
Sc1 0.0000 0.0000 0.0000 1
Zn1 0.6667 0.3333 0.5000 1
In1 0.3333 0.6667 0.5000 1
```

Properties
E_form ... -33.0 kJ per mole of atoms
Total magnetic moment ... 0.0 Bohr magnetons per cell